--- 1 ---
# PmYPu

An optimized crystal structure of PmYPu (GGA-PBE, Alexandria).

## Properties
Its crystal system is monoclinic. Its total magnetization is 12.61 Bohr magnetons per cell. The value obtained for the volume is 32.0 Å³ per atom. Its space group is C2/m.

a b c (Å): 3.400 6.740 9.076
angles (deg): 74.38 79.20 75.39
Positions (direct):
Pu 0.371 0.766 0.493
Pu 0.629 0.234 0.507
Y 0.878 0.071 0.172
Y 0.122 0.929 0.828
Pm 0.621 0.597 0.161
Pm 0.379 0.403 0.839

***

--- 2 ---
# PmYPu

An optimized crystal structure of PmYPu (GGA-PBE, Alexandria).

## Properties
Its crystal system is tetragonal. Its total magnetization is 6.17 Bohr magnetons per cell. The value obtained for the volume is 31.4 Å³ per atom. Its space group is I4mm.

a b c (Å): 3.547 3.547 7.902
angles (deg): 102.97 102.97 90.00
Positions (direct):
Y 0.946 0.946 0.893
Pm 0.620 0.620 0.240
Pu 0.284 0.284 0.567

***

--- 3 ---
# PmYPu

An optimized crystal structure of PmYPu (GGA-PBE, Alexandria).

## Properties
Its crystal system is trigonal. Its total magnetization is 6.24 Bohr magnetons per cell. The value obtained for the volume is 31.7 Å³ per atom. Its space group is P3m1.

a b c (Å): 3.569 3.569 8.616
angles (deg): 90.00 90.00 120.00
Positions (direct):
Y 0.000 0.000 0.005
Pm 0.333 0.667 0.663
Pu 0.667 0.333 0.332

***

Of them, 2 has the highest stability.

***

--- 1 ---
# Pm2PuZr

An optimized crystal structure of Pm2PuZr (GGA-PBE, Alexandria).

## Properties
Its crystal system is tetragonal. Its total magnetization is 5.82 Bohr magnetons per cell. The value obtained for the volume is 28.9 Å³ per atom. Its space group is P4/mmm.

a b c (Å): 4.842 4.886 4.886
angles (deg): 90.00 90.00 90.00
Positions (direct):
Pm 0.000 0.000 0.500
Pm 0.000 0.500 0.000
Zr 0.500 0.500 0.500
Pu 0.500 0.000 0.000

***

--- 2 ---
# Pm2PuZr

An optimized crystal structure of Pm2PuZr (GGA-PBE, Alexandria).

## Properties
Its crystal system is trigonal. Its total magnetization is 6.32 Bohr magnetons per cell. The value obtained for the volume is 30.0 Å³ per atom. Its space group is R-3m.

a b c (Å): 3.396 3.396 12.161
angles (deg): 81.97 81.97 60.00
Positions (direct):
Pm 0.092 0.092 0.725
Pm 0.908 0.908 0.275
Zr 0.500 0.500 0.500
Pu 0.000 0.000 0.000

***

Of them, 1 has the highest stability.